1.
Computed, not measured: crystalline SrCoN4 at its relaxed geometry at the PBE-GGA level of DFT.

Cell lengths 11.683, 5.190, 5.190 Å; angles 90.00, 116.32, 90.00 degrees
Space group C2/c (No. 15)
One atom of each set of equivalent atoms:
1 Sr 0.000 0.250 0.250
2 Co 0.250 0.250 0.000
3 N 0.062 0.250 0.811
4 N 0.250 0.166 0.416

Results
* D(E_F): 0.329 states/eV per atom
* ρ: 4770 kg/m³
* energy relative to the elements, uncorrected: 0.3 eV/f.u.
* crystal system: monoclinic

2.
Computed, not measured: crystalline Sr2TcAuO at its relaxed geometry at the PBE-GGA level of DFT.

Cell lengths 4.969, 4.969, 4.661 Å; angles 90.00, 90.00, 90.00 degrees
Space group P4/mmm (No. 123)
One atom of each set of equivalent atoms:
1 Sr 0.000 0.500 0.000
2 Tc 0.000 0.000 0.500
3 Au 0.500 0.500 0.500
4 O 0.500 0.500 0.000

Results
* D(E_F): 1.114 states/eV per atom
* ρ: 7016 kg/m³
* energy relative to the elements, uncorrected: -1.0 eV/f.u.
* crystal system: tetragonal

Question: ρ of number 2 (Sr2TcAuO)?
Answer: 7016 kg/m³

Question: Look up the energy relative to the elements, uncorrected of the first one.
Answer: 0.3 eV/f.u.

Question: Which of these has the highest D(E_F)?
Answer: Sr2TcAuO

Please write out number 2 again, unchanged.
Computed, not measured: crystalline Sr2TcAuO at its relaxed geometry at the PBE-GGA level of DFT.

Cell lengths 4.969, 4.969, 4.661 Å; angles 90.00, 90.00, 90.00 degrees
Space group P4/mmm (No. 123)
One atom of each set of equivalent atoms:
1 Sr 0.000 0.500 0.000
2 Tc 0.000 0.000 0.500
3 Au 0.500 0.500 0.500
4 O 0.500 0.500 0.000

Results
* D(E_F): 1.114 states/eV per atom
* ρ: 7016 kg/m³
* energy relative to the elements, uncorrected: -1.0 eV/f.u.
* crystal system: tetragonal